Record 1
Below is a relaxed structure of CsTiTcO6, with properties calculated at the PBE-GGA level.

Output
Uncorrected formation energy: -1.9606 eV/atom

```
CsTiTcO6
1.0
5.265 0.000 0.000
-2.632 4.560 0.000
0.000 0.000 6.647
Cs Ti Tc O
1 1 1 6
direct
0.000 0.000 0.000
0.333 0.667 0.559
0.667 0.333 0.485
0.405 0.398 0.351
0.427 0.017 0.686
0.589 0.573 0.686
0.602 0.007 0.351
0.983 0.411 0.686
0.993 0.595 0.351
```

***

Record 2
Below is a relaxed structure of CsTlTc2O8, with properties calculated at the PBE-GGA level.

Output
Uncorrected formation energy: -1.5144 eV/atom

```
CsTlTc2O8
1.0
4.544 -3.297 0.000
4.544 3.297 0.000
-0.522 0.000 9.472
Cs Tl Tc O
1 1 2 8
direct
0.000 0.000 0.000
0.000 0.000 0.500
0.419 0.419 0.736
0.581 0.581 0.264
0.254 0.691 0.265
0.301 0.301 0.585
0.309 0.746 0.735
0.320 0.320 0.888
0.680 0.680 0.112
0.691 0.254 0.265
0.699 0.699 0.415
0.746 0.309 0.735
```

***

Record 3
Below is a relaxed structure of Cs2TlTc2O7, with properties calculated at the PBE-GGA level.

Output
Uncorrected formation energy: -1.3227 eV/atom

```
Cs2TlTc2O7
1.0
-1.994 1.994 12.209
1.994 -1.994 12.209
1.994 1.994 -12.209
Cs Tl Tc O
2 1 2 7
direct
0.184 0.184 0.000
0.816 0.816 0.000
0.000 0.000 0.000
0.417 0.417 0.000
0.583 0.583 0.000
0.082 0.582 0.500
0.341 0.341 0.000
0.418 0.918 0.500
0.500 0.500 0.000
0.582 0.082 0.500
0.659 0.659 0.000
0.918 0.418 0.500
```

***

Record 4
Below is a relaxed structure of Cs2TlTc2O6, with properties calculated at the PBE-GGA level.

Output
Uncorrected formation energy: -1.2450 eV/atom

```
Cs2TlTc2O6
1.0
3.338 1.927 7.033
-3.338 1.927 7.033
0.000 -3.854 7.033
Cs Tl Tc O
2 1 2 6
direct
0.210 0.210 0.210
0.790 0.790 0.790
0.000 0.000 0.000
0.412 0.412 0.412
0.588 0.588 0.588
0.270 0.270 0.725
0.270 0.725 0.270
0.275 0.730 0.730
0.725 0.270 0.270
0.730 0.275 0.730
0.730 0.730 0.275
```

***

Record 5
Below is a relaxed structure of CsUTcO6, with properties calculated at the PBE-GGA level.

Output
Uncorrected formation energy: -2.2770 eV/atom

```
CsUTcO6
1.0
-3.668 3.956 5.389
3.668 -3.956 5.389
3.668 3.956 -5.389
Cs U Tc O
2 2 2 12
direct
0.364 0.114 0.250
0.636 0.886 0.750
0.000 0.500 0.500
0.500 0.500 0.000
0.000 0.000 0.500
0.000 0.500 0.000
0.040 0.790 0.250
0.051 0.422 0.225
0.051 0.826 0.629
0.303 0.174 0.725
0.303 0.578 0.129
0.325 0.575 0.750
0.675 0.425 0.250
0.697 0.422 0.871
0.697 0.826 0.275
0.949 0.174 0.371
0.949 0.578 0.775
0.960 0.210 0.750
```